Compound: TlCoBr5
Source: Alexandria via LeMat-Bulk
Functional: PBE
Structure: relaxed

* uncorrected formation energy: -0.362 eV per atom

a b c (Å): 7.456 7.457 10.628
angles (deg): 111.06 111.07 87.53
Each line ends with the local moment (μB).
Positions (direct):
Co 0.108 0.392 0.750  2.36
Tl 0.500 0.000 0.500  -0.04
Br 0.852 0.270 0.167  0.12
Br 0.592 0.908 0.750  -0.01
Br 0.756 0.701 0.050  0.13
Br 0.799 0.745 0.450  0.13
Br 0.769 0.352 0.666  0.12
Br 0.244 0.299 0.950  0.13
Br 0.231 0.648 0.334  0.12
Tl 0.500 0.000 0.000  -0.04
Br 0.408 0.092 0.250  -0.01
Br 0.148 0.730 0.833  0.12
Br 0.201 0.255 0.550  0.13
Co 0.892 0.608 0.250  2.36